{
  "formula": "YEr4Ag2",
  "functional": "PBE",
  "state": "optimized geometry",
  "lattice_angstrom": [[4.935, 0.000, 0.000], [2.468, 4.274, 0.000], [2.468, 1.425, 10.123]],
  "species": ["Ag", "Er", "Er", "Y", "Ag", "Er", "Er"],
  "fractional_positions": [[0.399, 0.399, 0.804], [0.299, 0.299, 0.104], [0.701, 0.701, 0.896], [0.500, 0.500, 0.500], [0.601, 0.601, 0.196], [0.899, 0.899, 0.304], [0.101, 0.101, 0.696]],
  "magnetic_moment_mub_per_cell": 0.00,
  "space_group": "No. 166",
  "dft_energy_ev_per_cell": -29.3,
  "delta_e_f_kj_per_mol_fu": 108.8
}